Zr2TeCl | GGA-PBE | optimized geometry

a b c (Å): 3.3656 4.5782 6.0789
angles (deg): 90.00 90.00 90.00
Space group Pmmm (No. 47)
Asymmetric unit:
Zr: 0.0000 0.0000 0.0000 (multiplicity 1)
Zr: 0.5000 0.0000 0.5000 (multiplicity 1)
Te: 0.0000 0.5000 0.5000 (multiplicity 1)
Cl: 0.5000 0.5000 0.0000 (multiplicity 1)

Values from the calculation:
Calculated density   6.1 g/cm³
Size of the total moment   0.000 μB per atom
Excess energy over the best structure of this formula in the dataset   1.89 eV/f.u.
Crystal system   orthorhombic
Energy relative to the elements, uncorrected   -390.0 meV/atom

---

ScMnP2Cl | GGA-PBE | optimized geometry

a b c (Å): 4.5209 4.5209 4.6604
angles (deg): 90.00 90.00 90.00
Space group P4/mmm (No. 123)
Asymmetric unit:
Sc: 0.0000 0.0000 0.0000 (multiplicity 1)
Mn: 0.5000 0.5000 0.5000 (multiplicity 1)
P: 0.0000 0.5000 0.5000 (multiplicity 2)
Cl: 0.5000 0.5000 0.0000 (multiplicity 1)

Values from the calculation:
Calculated density   3.4 g/cm³
Size of the total moment   0.651 μB per atom
Excess energy over the best structure of this formula in the dataset   0.00 eV/f.u.
Crystal system   tetragonal
Energy relative to the elements, uncorrected   -177.9 meV/atom

---

AlAs2Br | GGA-PBE | optimized geometry

a b c (Å): 5.1865 3.7252 5.2115
angles (deg): 90.00 111.88 90.00
Space group Pm (No. 6)
Asymmetric unit:
Al: 0.0000 0.0000 0.0000 (multiplicity 1)
As: 0.2548 0.5000 0.7572 (multiplicity 1)
As: 0.4519 0.0000 0.5594 (multiplicity 1)
Br: 0.7782 0.5000 0.2333 (multiplicity 1)

Values from the calculation:
Calculated density   4.6 g/cm³
Size of the total moment   0.000 μB per atom
Excess energy over the best structure of this formula in the dataset   0.97 eV/f.u.
Crystal system   monoclinic
Energy relative to the elements, uncorrected   19.2 meV/atom

---

| no. | volume (A^3/atom) |
| --- | --- |
| 1 | 23.4 |
| 2 | 19.1 |
| 3 | 23.4 |